(1)
The following is a DFT calculation (GGA-PBE) of a geometry-optimized AgMo2Os structure.

* volume: 15.768 A^3/atom
* E: -8.359 eV per atom
* magnetic moment: 0.00 μB/f.u.
* ΔH_f (0 K): 0.5771 eV/atom
* ρ: 12.9 Mg/m³

```
data_AgMo2Os
_chemical_formula_sum 'Ag4 Mo8 Os4'
_symmetry_space_group_name_H-M 'F -4 3 m'
_symmetry_Int_Tables_number 216
_symmetry_space_group_name_Hall 'F -4 2 3'
_cell_length_a 6.319
_cell_length_b 6.319
_cell_length_c 6.319
_cell_angle_alpha 90.00
_cell_angle_beta 90.00
_cell_angle_gamma 90.00
loop_
_atom_site_label
_atom_site_type_symbol
_atom_site_fract_x
_atom_site_fract_y
_atom_site_fract_z
_atom_site_occupancy
Ag1 Ag 0.000 0.000 0.000 1
Mo1 Mo 0.000 0.000 0.500 1
Mo2 Mo 0.250 0.250 0.250 1
Os1 Os 0.250 0.250 0.750 1
```

=====

(2)
The following is a DFT calculation (GGA-PBE) of a geometry-optimized AgMoP6 structure.

* volume: 19.314 A^3/atom
* E: -4.828 eV per atom
* magnetic moment: 2.65 μB/f.u.
* ρ: 4.2 Mg/m³

```
data_AgMoP6
_chemical_formula_sum 'Ag4 Mo4 P24'
_symmetry_space_group_name_H-M 'F -4 3 m'
_symmetry_Int_Tables_number 216
_symmetry_space_group_name_Hall 'F -4 2 3'
_cell_length_a 8.518
_cell_length_b 8.518
_cell_length_c 8.518
_cell_angle_alpha 90.00
_cell_angle_beta 90.00
_cell_angle_gamma 90.00
loop_
_atom_site_label
_atom_site_type_symbol
_atom_site_fract_x
_atom_site_fract_y
_atom_site_fract_z
_atom_site_occupancy
Ag1 Ag 0.000 0.000 0.000 1
Mo1 Mo 0.250 0.250 0.250 1
P1 P 0.000 0.000 0.296 1
```

=====

(3)
The following is a DFT calculation (GGA-PBE) of a geometry-optimized AgMo3P5 structure.

* volume: 18.878 A^3/atom
* E: -6.675 eV per atom
* magnetic moment: 0.01 μB/f.u.
* ρ: 5.4 Mg/m³

```
data_AgMo3P5
_chemical_formula_sum 'Ag1 Mo3 P5'
_symmetry_space_group_name_H-M 'P 6/m m m'
_symmetry_Int_Tables_number 191
_symmetry_space_group_name_Hall '-P 6 2'
_cell_length_a 5.2578
_cell_length_b 5.2578
_cell_length_c 7.0968
_cell_angle_alpha 90.00
_cell_angle_beta 90.00
_cell_angle_gamma 120.00
loop_
_atom_site_label
_atom_site_type_symbol
_atom_site_fract_x
_atom_site_fract_y
_atom_site_fract_z
_atom_site_occupancy
Ag1 Ag 0.0000 0.0000 0.0000 1
Mo1 Mo 0.0000 0.5000 0.5000 1
P1 P 0.0000 0.0000 0.5000 1
P2 P 0.3333 0.6667 0.2150 1
```

=====

(4)
The following is a DFT calculation (GGA-PBE) of a geometry-optimized AgMoPd structure.

* volume: 18.539 A^3/atom
* relative energy among the computed polymorphs: 0 meV per atom
* E: -5.523 eV per atom
* magnetic moment: 0.06 μB/f.u.
* ΔH_f (0 K): 0.7593 eV/atom
* ρ: 9.3 Mg/m³

```
data_AgMoPd
_chemical_formula_sum 'Ag4 Mo4 Pd4'
_symmetry_space_group_name_H-M 'F -4 3 m'
_symmetry_Int_Tables_number 216
_symmetry_space_group_name_Hall 'F -4 2 3'
_cell_length_a 6.059
_cell_length_b 6.059
_cell_length_c 6.059
_cell_angle_alpha 90.00
_cell_angle_beta 90.00
_cell_angle_gamma 90.00
loop_
_atom_site_label
_atom_site_type_symbol
_atom_site_fract_x
_atom_site_fract_y
_atom_site_fract_z
_atom_site_occupancy
Ag1 Ag 0.000 0.000 0.000 1
Mo1 Mo 0.000 0.000 0.500 1
Pd1 Pd 0.250 0.250 0.250 1
```

=====

(5)
The following is a DFT calculation (GGA-PBE) of a geometry-optimized AgMo2Pd structure.

* volume: 16.026 A^3/atom
* E: -6.964 eV per atom
* magnetic moment: 0.28 μB/f.u.
* ΔH_f (0 K): 0.4602 eV/atom
* ρ: 10.5 Mg/m³

```
data_AgMo2Pd
_chemical_formula_sum 'Ag4 Mo8 Pd4'
_symmetry_space_group_name_H-M 'F -4 3 m'
_symmetry_Int_Tables_number 216
_symmetry_space_group_name_Hall 'F -4 2 3'
_cell_length_a 6.353
_cell_length_b 6.353
_cell_length_c 6.353
_cell_angle_alpha 90.00
_cell_angle_beta 90.00
_cell_angle_gamma 90.00
loop_
_atom_site_label
_atom_site_type_symbol
_atom_site_fract_x
_atom_site_fract_y
_atom_site_fract_z
_atom_site_occupancy
Ag1 Ag 0.000 0.000 0.000 1
Mo1 Mo 0.000 0.000 0.500 1
Mo2 Mo 0.250 0.250 0.250 1
Pd1 Pd 0.250 0.250 0.750 1
```

=====

(6)
The following is a DFT calculation (GGA-PBE) of a geometry-optimized Ag2MoPd structure.

* volume: 16.386 A^3/atom
* E: -4.974 eV per atom
* magnetic moment: 0.01 μB/f.u.
* ΔH_f (0 K): 0.4440 eV/atom
* ρ: 10.6 Mg/m³

```
data_Ag2MoPd
_chemical_formula_sum 'Ag8 Mo4 Pd4'
_symmetry_space_group_name_H-M 'F -4 3 m'
_symmetry_Int_Tables_number 216
_symmetry_space_group_name_Hall 'F -4 2 3'
_cell_length_a 6.400
_cell_length_b 6.400
_cell_length_c 6.400
_cell_angle_alpha 90.00
_cell_angle_beta 90.00
_cell_angle_gamma 90.00
loop_
_atom_site_label
_atom_site_type_symbol
_atom_site_fract_x
_atom_site_fract_y
_atom_site_fract_z
_atom_site_occupancy
Ag1 Ag 0.000 0.000 0.000 1
Ag2 Ag 0.250 0.250 0.250 1
Mo1 Mo 0.250 0.250 0.750 1
Pd1 Pd 0.000 0.000 0.500 1
```

=====

(7)
The following is a DFT calculation (GGA-PBE) of a geometry-optimized PmAgMo structure.

* volume: 25.258 A^3/atom
* relative energy among the computed polymorphs: 0 meV per atom
* E: -5.171 eV per atom
* magnetic moment: 2.63 μB/f.u.
* ΔH_f (0 K): 0.9685 eV/atom
* ρ: 7.6 Mg/m³

```
data_PmAgMo
_chemical_formula_sum 'Pm4 Ag4 Mo4'
_symmetry_space_group_name_H-M 'F -4 3 m'
_symmetry_Int_Tables_number 216
_symmetry_space_group_name_Hall 'F -4 2 3'
_cell_length_a 6.717
_cell_length_b 6.717
_cell_length_c 6.717
_cell_angle_alpha 90.00
_cell_angle_beta 90.00
_cell_angle_gamma 90.00
loop_
_atom_site_label
_atom_site_type_symbol
_atom_site_fract_x
_atom_site_fract_y
_atom_site_fract_z
_atom_site_occupancy
Pm1 Pm 0.000 0.000 0.000 1
Ag1 Ag 0.000 0.000 0.500 1
Mo1 Mo 0.250 0.250 0.750 1
```

=====

(8)
The following is a DFT calculation (GGA-PBE) of a geometry-optimized PmAgMo structure.

* volume: 26.257 A^3/atom
* relative energy among the computed polymorphs: 288 meV per atom
* E: -4.883 eV per atom
* magnetic moment: 2.97 μB/f.u.
* ΔH_f (0 K): 1.2562 eV/atom
* ρ: 7.4 Mg/m³

```
data_PmAgMo
_chemical_formula_sum 'Pm4 Ag4 Mo4'
_symmetry_space_group_name_H-M 'F -4 3 m'
_symmetry_Int_Tables_number 216
_symmetry_space_group_name_Hall 'F -4 2 3'
_cell_length_a 6.805
_cell_length_b 6.805
_cell_length_c 6.805
_cell_angle_alpha 90.00
_cell_angle_beta 90.00
_cell_angle_gamma 90.00
loop_
_atom_site_label
_atom_site_type_symbol
_atom_site_fract_x
_atom_site_fract_y
_atom_site_fract_z
_atom_site_occupancy
Pm1 Pm 0.000 0.000 0.000 1
Ag1 Ag 0.250 0.250 0.750 1
Mo1 Mo 0.250 0.250 0.250 1
```

=====

(9)
The following is a DFT calculation (GGA-PBE) of a geometry-optimized PrAgMo structure.

* volume: 25.813 A^3/atom
* relative energy among the computed polymorphs: 0 meV per atom
* E: -5.171 eV per atom
* magnetic moment: 2.48 μB/f.u.
* ΔH_f (0 K): 0.9782 eV/atom
* ρ: 7.4 Mg/m³

```
data_PrAgMo
_chemical_formula_sum 'Pr4 Ag4 Mo4'
_symmetry_space_group_name_H-M 'F -4 3 m'
_symmetry_Int_Tables_number 216
_symmetry_space_group_name_Hall 'F -4 2 3'
_cell_length_a 6.766
_cell_length_b 6.766
_cell_length_c 6.766
_cell_angle_alpha 90.00
_cell_angle_beta 90.00
_cell_angle_gamma 90.00
loop_
_atom_site_label
_atom_site_type_symbol
_atom_site_fract_x
_atom_site_fract_y
_atom_site_fract_z
_atom_site_occupancy
Pr1 Pr 0.000 0.000 0.000 1
Ag1 Ag 0.000 0.000 0.500 1
Mo1 Mo 0.250 0.250 0.750 1
```

=====

(10)
The following is a DFT calculation (GGA-PBE) of a geometry-optimized PrAgMo structure.

* volume: 27.136 A^3/atom
* relative energy among the computed polymorphs: 319 meV per atom
* E: -4.852 eV per atom
* magnetic moment: 2.99 μB/f.u.
* ΔH_f (0 K): 1.2969 eV/atom
* ρ: 7.0 Mg/m³

```
data_PrAgMo
_chemical_formula_sum 'Pr4 Ag4 Mo4'
_symmetry_space_group_name_H-M 'F -4 3 m'
_symmetry_Int_Tables_number 216
_symmetry_space_group_name_Hall 'F -4 2 3'
_cell_length_a 6.880
_cell_length_b 6.880
_cell_length_c 6.880
_cell_angle_alpha 90.00
_cell_angle_beta 90.00
_cell_angle_gamma 90.00
loop_
_atom_site_label
_atom_site_type_symbol
_atom_site_fract_x
_atom_site_fract_y
_atom_site_fract_z
_atom_site_occupancy
Pr1 Pr 0.000 0.000 0.000 1
Ag1 Ag 0.250 0.250 0.750 1
Mo1 Mo 0.250 0.250 0.250 1
```

=====

(11)
The following is a DFT calculation (GGA-PBE) of a geometry-optimized PuAgMo structure.

* volume: 21.307 A^3/atom
* relative energy among the computed polymorphs: 278 meV per atom
* E: -8.186 eV per atom
* magnetic moment: 3.08 μB/f.u.
* ΔH_f (0 K): 1.0805 eV/atom
* ρ: 11.6 Mg/m³

```
data_PuAgMo
_chemical_formula_sum 'Pu4 Ag4 Mo4'
_symmetry_space_group_name_H-M 'F -4 3 m'
_symmetry_Int_Tables_number 216
_symmetry_space_group_name_Hall 'F -4 2 3'
_cell_length_a 6.347
_cell_length_b 6.347
_cell_length_c 6.347
_cell_angle_alpha 90.00
_cell_angle_beta 90.00
_cell_angle_gamma 90.00
loop_
_atom_site_label
_atom_site_type_symbol
_atom_site_fract_x
_atom_site_fract_y
_atom_site_fract_z
_atom_site_occupancy
Pu1 Pu 0.000 0.000 0.000 1
Ag1 Ag 0.250 0.250 0.750 1
Mo1 Mo 0.250 0.250 0.250 1
```

=====

(12)
The following is a DFT calculation (GGA-PBE) of a geometry-optimized PuAgMo structure.

* volume: 21.833 A^3/atom
* relative energy among the computed polymorphs: 0 meV per atom
* E: -8.464 eV per atom
* magnetic moment: 3.51 μB/f.u.
* ΔH_f (0 K): 0.8023 eV/atom
* ρ: 11.4 Mg/m³

```
data_PuAgMo
_chemical_formula_sum 'Pu4 Ag4 Mo4'
_symmetry_space_group_name_H-M 'F -4 3 m'
_symmetry_Int_Tables_number 216
_symmetry_space_group_name_Hall 'F -4 2 3'
_cell_length_a 6.399
_cell_length_b 6.399
_cell_length_c 6.399
_cell_angle_alpha 90.00
_cell_angle_beta 90.00
_cell_angle_gamma 90.00
loop_
_atom_site_label
_atom_site_type_symbol
_atom_site_fract_x
_atom_site_fract_y
_atom_site_fract_z
_atom_site_occupancy
Pu1 Pu 0.000 0.000 0.000 1
Ag1 Ag 0.000 0.000 0.500 1
Mo1 Mo 0.250 0.250 0.750 1
```

=====

(13)
The following is a DFT calculation (GGA-PBE) of a geometry-optimized RbAgMoS3 structure.

* volume: 23.377 A^3/atom
* E: -4.941 eV per atom
* magnetic moment: 2.00 μB/f.u.
* ρ: 4.6 Mg/m³

```
data_RbAgMoS3
_chemical_formula_sum 'Rb4 Ag4 Mo4 S12'
_symmetry_space_group_name_H-M 'C m c m'
_symmetry_Int_Tables_number 63
_symmetry_space_group_name_Hall '-C 2c 2'
_cell_length_a 3.797
_cell_length_b 14.975
_cell_length_c 9.868
_cell_angle_alpha 90.00
_cell_angle_beta 90.00
_cell_angle_gamma 90.00
loop_
_atom_site_label
_atom_site_type_symbol
_atom_site_fract_x
_atom_site_fract_y
_atom_site_fract_z
_atom_site_occupancy
Rb1 Rb 0.000 0.249 0.250 1
Ag1 Ag 0.000 0.045 0.750 1
Mo1 Mo 0.000 0.500 0.000 1
S1 S 0.000 0.110 0.525 1
S2 S 0.000 0.436 0.750 1
```

=====

(14)
The following is a DFT calculation (GGA-PBE) of a geometry-optimized Rb2Ag2MoS4 structure.

* volume: 27.841 A^3/atom
* E: -4.484 eV per atom
* magnetic moment: 2.00 μB/f.u.
* ρ: 4.0 Mg/m³

```
data_Rb2Ag2MoS4
_chemical_formula_sum 'Rb4 Ag4 Mo2 S8'
_symmetry_space_group_name_H-M 'C 2 2 2'
_symmetry_Int_Tables_number 21
_symmetry_space_group_name_Hall 'C 2 2'
_cell_length_a 6.115
_cell_length_b 13.478
_cell_length_c 6.080
_cell_angle_alpha 90.00
_cell_angle_beta 90.00
_cell_angle_gamma 90.00
loop_
_atom_site_label
_atom_site_type_symbol
_atom_site_fract_x
_atom_site_fract_y
_atom_site_fract_z
_atom_site_occupancy
Rb1 Rb 0.250 0.250 0.240 1
Ag1 Ag 0.000 0.000 0.000 1
Ag2 Ag 0.000 0.500 0.500 1
Mo1 Mo 0.000 0.000 0.500 1
S1 S 0.216 0.105 0.716 1
```